[1]
Entry from the Alexandria database: a geometry-optimized PmCuSiAg structure (PBE).

a b c (Å): 6.7147 6.7147 6.7147
angles (deg): 90.00 90.00 90.00
Closest atoms and distances in Å follow each position.
Space group F-43m (No. 216)
One atom of each set of equivalent atoms:
Pm: 0.0000 0.0000 0.0000 (multiplicity 4)  4 Cu 2.91, 4 Ag 2.91
Cu: 0.2500 0.2500 0.7500 (multiplicity 4)  4 Pm 2.91, 4 Si 2.91
Si: 0.0000 0.0000 0.5000 (multiplicity 4)  4 Cu 2.91, 4 Ag 2.91
Ag: 0.2500 0.2500 0.2500 (multiplicity 4)  4 Pm 2.91, 4 Si 2.91

Calculated values
- Calculated volume: 302.7 Å³ per cell
- ΔE_f (raw): -141 meV per atom


[2]
Entry from the Alexandria database: a geometry-optimized PrSm2Ho structure (PBE).

a b c (Å): 4.2728 4.2728 7.4029
angles (deg): 90.00 90.00 90.00
Closest atoms and distances in Å follow each position.
Space group P4/mmm (No. 123)
One atom of each set of equivalent atoms:
Pr: 0.0000 0.0000 0.0000 (multiplicity 1)  8 Sm 3.57, 2 Ho 3.70
Sm: 0.5000 0.5000 0.2570 (multiplicity 2)  4 Ho 3.52, 4 Pr 3.57, 2 Sm 3.60-3.81
Ho: 0.0000 0.0000 0.5000 (multiplicity 1)  8 Sm 3.52, 2 Pr 3.70

Calculated values
- Calculated volume: 135.2 Å³ per cell
- Calculated formation energy: 0.120 eV per atom